Entry one
Here is a relaxed structure of ZrTcB3 from the Alexandria database. Energies are from PBE.

## Properties
The spin magnetization is 0.0 Bohr magnetons per cell. The crystal system is cubic. The calculated density comes out at 5.72 Mg/m³.

Cell and atoms, written as CIF:
```
data_ZrTcB3
_symmetry_space_group_name_H-M 'P m -3 m'
_symmetry_Int_Tables_number 221
_symmetry_space_group_name_Hall '-P 4 2 3'
_cell_length_a 4.0073
_cell_length_b 4.0073
_cell_length_c 4.0073
_cell_angle_alpha 90.00
_cell_angle_beta 90.00
_cell_angle_gamma 90.00
loop_
_atom_site_label
_atom_site_type_symbol
_atom_site_fract_x
_atom_site_fract_y
_atom_site_fract_z
Zr1 Zr 0.0000 0.0000 0.0000
Tc1 Tc 0.5000 0.5000 0.5000
B1 B 0.0000 0.5000 0.5000
```

***

Entry two
Here is a relaxed structure of ZrTcB3 from the Alexandria database. Energies are from PBE.

## Properties
The spin magnetization is 0.0 Bohr magnetons per cell. The crystal system is orthorhombic. The calculated density comes out at 7.20 Mg/m³.

Cell and atoms, written as CIF:
```
data_ZrTcB3
_symmetry_space_group_name_H-M 'C m c m'
_symmetry_Int_Tables_number 63
_symmetry_space_group_name_Hall '-C 2c 2'
_cell_length_a 3.5497
_cell_length_b 18.7573
_cell_length_c 3.0712
_cell_angle_alpha 90.00
_cell_angle_beta 90.00
_cell_angle_gamma 90.00
loop_
_atom_site_label
_atom_site_type_symbol
_atom_site_fract_x
_atom_site_fract_y
_atom_site_fract_z
Zr1 Zr 0.0000 0.0737 0.2500
Tc1 Tc 0.0000 0.2039 0.7500
B1 B 0.0000 0.3241 0.7500
B2 B 0.0000 0.3748 0.2500
B3 B 0.0000 0.4758 0.2500
```

***

Entry three
Here is a relaxed structure of ZrTcB3 from the Alexandria database. Energies are from PBE.

## Properties
The spin magnetization is 3.0 Bohr magnetons per cell. The crystal system is cubic. The calculated density comes out at 4.77 Mg/m³.

Cell and atoms, written as CIF:
```
data_ZrTcB3
_symmetry_space_group_name_H-M 'P m -3 m'
_symmetry_Int_Tables_number 221
_symmetry_space_group_name_Hall '-P 4 2 3'
_cell_length_a 4.2571
_cell_length_b 4.2571
_cell_length_c 4.2571
_cell_angle_alpha 90.00
_cell_angle_beta 90.00
_cell_angle_gamma 90.00
loop_
_atom_site_label
_atom_site_type_symbol
_atom_site_fract_x
_atom_site_fract_y
_atom_site_fract_z
Zr1 Zr 0.0000 0.0000 0.0000
Tc1 Tc 0.5000 0.5000 0.5000
B1 B 0.0000 0.0000 0.5000
```

***

Which of them is the most stable? Correct choice: entry two.

***

Entry one
Here is a relaxed structure of Zr3TcB from the Alexandria database. Energies are from PBE.

## Properties
The spin magnetization is 0.0 Bohr magnetons per cell. The crystal system is cubic. The calculated density comes out at 6.66 Mg/m³.

Cell and atoms, written as CIF:
```
data_Zr3TcB
_symmetry_space_group_name_H-M 'P m -3 m'
_symmetry_Int_Tables_number 221
_symmetry_space_group_name_Hall '-P 4 2 3'
_cell_length_a 4.5679
_cell_length_b 4.5679
_cell_length_c 4.5679
_cell_angle_alpha 90.00
_cell_angle_beta 90.00
_cell_angle_gamma 90.00
loop_
_atom_site_label
_atom_site_type_symbol
_atom_site_fract_x
_atom_site_fract_y
_atom_site_fract_z
Zr1 Zr 0.0000 0.0000 0.5000
Tc1 Tc 0.5000 0.5000 0.5000
B1 B 0.0000 0.0000 0.0000
```

***

Entry two
Here is a relaxed structure of Zr3TcB from the Alexandria database. Energies are from PBE.

## Properties
The spin magnetization is 0.0 Bohr magnetons per cell. The crystal system is cubic. The calculated density comes out at 5.25 Mg/m³.

Cell and atoms, written as CIF:
```
data_Zr3TcB
_symmetry_space_group_name_H-M 'P m -3 m'
_symmetry_Int_Tables_number 221
_symmetry_space_group_name_Hall '-P 4 2 3'
_cell_length_a 4.9458
_cell_length_b 4.9458
_cell_length_c 4.9458
_cell_angle_alpha 90.00
_cell_angle_beta 90.00
_cell_angle_gamma 90.00
loop_
_atom_site_label
_atom_site_type_symbol
_atom_site_fract_x
_atom_site_fract_y
_atom_site_fract_z
Zr1 Zr 0.0000 0.0000 0.5000
Tc1 Tc 0.0000 0.0000 0.0000
B1 B 0.5000 0.5000 0.5000
```

***

Which of them is the most stable? Correct choice: entry one.